Entry 1:
# PBEsol NaScCo2Ag, optimized geometry
data_NaScCo2Ag
_chemical_formula_sum 'Na1 Sc1 Co2 Ag1'
_symmetry_space_group_name_H-M 'P 4/m m m'
_symmetry_Int_Tables_number 123
_symmetry_space_group_name_Hall '-P 4 2'
_cell_length_a 4.746
_cell_length_b 4.746
_cell_length_c 4.908
_cell_angle_alpha 90.00
_cell_angle_beta 90.00
_cell_angle_gamma 90.00
loop_
_atom_site_label
_atom_site_fract_x
_atom_site_fract_y
_atom_site_fract_z
_atom_site_occupancy
Na1 0.000 0.000 0.000 1
Sc1 0.500 0.500 0.000 1
Co1 0.000 0.500 0.500 1
Ag1 0.500 0.500 0.500 1
# - E_form: 113.37 kJ per mole of atoms
# - Magnetization: 2.92 μB per cell


Entry 2:
# PBEsol TlGaS2, optimized geometry
data_TlGaS2
_chemical_formula_sum 'Tl4 Ga4 S8'
_symmetry_space_group_name_H-M 'I -4 2 d'
_symmetry_Int_Tables_number 122
_symmetry_space_group_name_Hall 'I -4 2bw'
_cell_length_a 6.929
_cell_length_b 6.929
_cell_length_c 8.028
_cell_angle_alpha 90.00
_cell_angle_beta 90.00
_cell_angle_gamma 90.00
loop_
_atom_site_label
_atom_site_fract_x
_atom_site_fract_y
_atom_site_fract_z
_atom_site_occupancy
Tl1 0.000 0.000 0.000 1
Ga1 0.000 0.000 0.500 1
S1 0.158 0.750 0.625 1
# - E_form (uncorrected): -55.0 kJ per mole of atoms
# - Magnetization: 0.00 μB per cell


Entry 3:
# PBEsol NaMnAl2, optimized geometry
data_NaMnAl2
_chemical_formula_sum 'Na4 Mn4 Al8'
_symmetry_space_group_name_H-M 'F m -3 m'
_symmetry_Int_Tables_number 225
_symmetry_space_group_name_Hall '-F 4 2 3'
_cell_length_a 6.363
_cell_length_b 6.363
_cell_length_c 6.363
_cell_angle_alpha 90.00
_cell_angle_beta 90.00
_cell_angle_gamma 90.00
loop_
_atom_site_label
_atom_site_fract_x
_atom_site_fract_y
_atom_site_fract_z
_atom_site_occupancy
Na1 0.000 0.000 0.000 1
Mn1 0.000 0.000 0.500 1
Al1 0.250 0.250 0.250 1
# - E_form: 27.97 kJ per mole of atoms
# - Magnetization: 12.66 μB per cell


Entry 4:
# PBEsol KReRhI2, optimized geometry
data_KReRhI2
_chemical_formula_sum 'K1 Re1 Rh1 I2'
_symmetry_space_group_name_H-M 'P 4/m m m'
_symmetry_Int_Tables_number 123
_symmetry_space_group_name_Hall '-P 4 2'
_cell_length_a 5.254
_cell_length_b 5.254
_cell_length_c 5.599
_cell_angle_alpha 90.00
_cell_angle_beta 90.00
_cell_angle_gamma 90.00
loop_
_atom_site_label
_atom_site_fract_x
_atom_site_fract_y
_atom_site_fract_z
_atom_site_occupancy
K1 0.000 0.000 0.000 1
Re1 0.500 0.500 0.000 1
Rh1 0.000 0.000 0.500 1
I1 0.000 0.500 0.500 1
# - E_form (uncorrected): 131.7 kJ per mole of atoms
# - Magnetization: 5.38 μB per cell


Entry 5:
# PBEsol Sc2MoW, optimized geometry
data_Sc2MoW
_chemical_formula_sum 'Sc2 Mo1 W1'
_symmetry_space_group_name_H-M 'P 4 m m'
_symmetry_Int_Tables_number 99
_cell_length_a 3.188
_cell_length_b 3.188
_cell_length_c 7.456
_cell_angle_alpha 90.00
_cell_angle_beta 90.00
_cell_angle_gamma 90.00
loop_
_symmetry_equiv_pos_as_xyz
'x,y,z'
'-y,x,z'
'-x,-y,z'
'y,-x,z'
'-x,y,z'
'y,x,z'
'x,-y,z'
'-y,-x,z'
loop_
_atom_site_label
_atom_site_fract_x
_atom_site_fract_y
_atom_site_fract_z
_atom_site_occupancy
Sc1 0.000 0.000 0.000 1
Sc2 0.500 0.500 0.343 1
Mo1 0.500 0.500 0.769 1
W1 0.000 0.000 0.582 1
# - E above lowest polymorph: 0.000 eV/atom
# - E_form: 4.93 kJ per mole of atoms
# - Magnetization: 0.00 μB per cell


Entry 6:
# PBEsol Li3CrO4, optimized geometry
data_Li3CrO4
_chemical_formula_sum 'Li6 Cr2 O8'
_symmetry_space_group_name_H-M 'C m m m'
_symmetry_Int_Tables_number 65
_symmetry_space_group_name_Hall '-C 2 2'
_cell_length_a 5.752
_cell_length_b 7.856
_cell_length_c 2.860
_cell_angle_alpha 90.00
_cell_angle_beta 90.00
_cell_angle_gamma 90.00
loop_
_atom_site_label
_atom_site_fract_x
_atom_site_fract_y
_atom_site_fract_z
_atom_site_occupancy
Li1 0.000 0.000 0.000 1
Li2 0.250 0.250 0.500 1
Cr1 0.000 0.500 0.000 1
O1 0.000 0.276 0.000 1
O2 0.228 0.500 0.500 1
# - E above lowest polymorph: 0.080 eV/atom
# - E_form (uncorrected): -190.2 kJ per mole of atoms
# - Magnetization: 2.00 μB per cell


Entry 7:
# PBEsol Dy2Si4Mo3, optimized geometry
data_Dy2Si4Mo3
_chemical_formula_sum 'Dy4 Si8 Mo6'
_symmetry_space_group_name_H-M 'P 1 21/c 1'
_symmetry_Int_Tables_number 14
_cell_length_a 6.791
_cell_length_b 6.849
_cell_length_c 6.690
_cell_angle_alpha 90.00
_cell_angle_beta 108.97
_cell_angle_gamma 90.00
loop_
_symmetry_equiv_pos_as_xyz
'x,y,z'
'-x,-y,-z'
'-x,y+1/2,-z+1/2'
'x,-y+1/2,z+1/2'
loop_
_atom_site_label
_atom_site_fract_x
_atom_site_fract_y
_atom_site_fract_z
_atom_site_occupancy
Dy1 0.190 0.169 0.061 1
Si1 0.090 0.545 0.868 1
Si2 0.496 0.632 0.629 1
Mo1 0.250 0.663 0.249 1
Mo2 0.500 0.000 0.500 1
# - E_form (uncorrected): -70.9 kJ per mole of atoms
# - Magnetization: 0.00 μB per cell


Entry 8:
# PBEsol Ba3VO5, optimized geometry
data_Ba3VO5
_chemical_formula_sum 'Ba12 V4 O20'
_symmetry_space_group_name_H-M 'I 4/m c m'
_symmetry_Int_Tables_number 140
_symmetry_space_group_name_Hall '-I 4 2c'
_cell_length_a 7.254
_cell_length_b 7.254
_cell_length_c 11.751
_cell_angle_alpha 90.00
_cell_angle_beta 90.00
_cell_angle_gamma 90.00
loop_
_atom_site_label
_atom_site_fract_x
_atom_site_fract_y
_atom_site_fract_z
_atom_site_occupancy
Ba1 0.000 0.000 0.250 1
Ba2 0.178 0.322 0.000 1
V1 0.000 0.500 0.250 1
O1 0.000 0.000 0.000 1
O2 0.137 0.363 0.343 1
# - E_form (uncorrected): -256.5 kJ per mole of atoms
# - Magnetization: 4.05 μB per cell


Entry 9:
# PBEsol YNiAs2Se, optimized geometry
data_YNiAs2Se
_chemical_formula_sum 'Y1 Ni1 As2 Se1'
_symmetry_space_group_name_H-M 'P 4/m m m'
_symmetry_Int_Tables_number 123
_symmetry_space_group_name_Hall '-P 4 2'
_cell_length_a 4.511
_cell_length_b 4.511
_cell_length_c 4.899
_cell_angle_alpha 90.00
_cell_angle_beta 90.00
_cell_angle_gamma 90.00
loop_
_atom_site_label
_atom_site_fract_x
_atom_site_fract_y
_atom_site_fract_z
_atom_site_occupancy
Y1 0.000 0.000 0.000 1
Ni1 0.500 0.500 0.500 1
As1 0.000 0.500 0.500 1
Se1 0.500 0.500 0.000 1
# - E_form (uncorrected): -37.1 kJ per mole of atoms
# - Magnetization: 0.00 μB per cell


Entry 10:
# PBEsol NaPBr3, optimized geometry
data_NaPBr3
_chemical_formula_sum 'Na1 P1 Br3'
_symmetry_space_group_name_H-M 'P m -3 m'
_symmetry_Int_Tables_number 221
_symmetry_space_group_name_Hall '-P 4 2 3'
_cell_length_a 5.213
_cell_length_b 5.213
_cell_length_c 5.213
_cell_angle_alpha 90.00
_cell_angle_beta 90.00
_cell_angle_gamma 90.00
loop_
_atom_site_label
_atom_site_fract_x
_atom_site_fract_y
_atom_site_fract_z
_atom_site_occupancy
Na1 0.000 0.000 0.000 1
P1 0.500 0.500 0.500 1
Br1 0.000 0.000 0.500 1
# - E_form (uncorrected): 35.5 kJ per mole of atoms
# - Magnetization: 0.99 μB per cell


Entry 11:
# PBEsol Zr3Pt, optimized geometry
data_Zr3Pt
_chemical_formula_sum 'Zr6 Pt2'
_symmetry_space_group_name_H-M 'I m m m'
_symmetry_Int_Tables_number 71
_symmetry_space_group_name_Hall '-I 2 2'
_cell_length_a 3.543
_cell_length_b 4.590
_cell_length_c 9.637
_cell_angle_alpha 90.00
_cell_angle_beta 90.00
_cell_angle_gamma 90.00
loop_
_atom_site_label
_atom_site_fract_x
_atom_site_fract_y
_atom_site_fract_z
_atom_site_occupancy
Zr1 0.000 0.000 0.000 1
Zr2 0.000 0.500 0.237 1
Pt1 0.000 0.000 0.500 1
# - E_form: -49.76 kJ per mole of atoms
# - Magnetization: 0.00 μB per cell


Entry 12:
# PBEsol Al2SiAs, optimized geometry
data_Al2SiAs
_chemical_formula_sum 'Al2 Si1 As1'
_symmetry_space_group_name_H-M 'P 4 m m'
_symmetry_Int_Tables_number 99
_cell_length_a 2.811
_cell_length_b 2.811
_cell_length_c 8.339
_cell_angle_alpha 90.00
_cell_angle_beta 90.00
_cell_angle_gamma 90.00
loop_
_symmetry_equiv_pos_as_xyz
'x,y,z'
'-y,x,z'
'-x,-y,z'
'y,-x,z'
'-x,y,z'
'y,x,z'
'x,-y,z'
'-y,-x,z'
loop_
_atom_site_label
_atom_site_fract_x
_atom_site_fract_y
_atom_site_fract_z
_atom_site_occupancy
Al1 0.000 0.000 0.000 1
Al2 0.500 0.500 0.241 1
Si1 0.500 0.500 0.775 1
As1 0.000 0.000 0.491 1
# - E_form (uncorrected): 19.3 kJ per mole of atoms
# - Magnetization: 0.00 μB per cell